1.
# LiHfAgTe3

A relaxed structure of LiHfAgTe3 (PBE-GGA, OQMD).

a = 7.427 Å, b = 7.427 Å, c = 10.969 Å
α = 90.00°, β = 90.00°, γ = 148.51°
Positions (direct):
Li 0.204 0.796 0.750
Li 0.796 0.204 0.250
Hf 0.000 0.000 0.000
Hf 0.000 0.000 0.500
Ag 0.467 0.533 0.250
Ag 0.533 0.467 0.750
Te 0.099 0.901 0.250
Te 0.357 0.643 0.047
Te 0.357 0.643 0.453
Te 0.643 0.357 0.547
Te 0.643 0.357 0.953
Te 0.901 0.099 0.750

Results
Energy above the lowest structure with this stoichiometry, meV/atom: 54
SG: Cmcm
Crystal system: orthorhombic


2.
# LiHfAg3Te4

A relaxed structure of LiHfAg3Te4 (PBE-GGA, OQMD).

a = 6.622 Å, b = 8.987 Å, c = 9.065 Å
α = 90.00°, β = 94.00°, γ = 90.00°
Positions (direct):
Li 0.202 0.250 0.121
Li 0.798 0.750 0.879
Hf 0.244 0.750 0.258
Hf 0.756 0.250 0.742
Ag 0.222 0.004 0.510
Ag 0.222 0.496 0.510
Ag 0.276 0.250 0.742
Ag 0.724 0.750 0.258
Ag 0.778 0.504 0.490
Ag 0.778 0.996 0.490
Te 0.003 0.001 0.771
Te 0.003 0.499 0.771
Te 0.443 0.750 0.013
Te 0.487 0.750 0.526
Te 0.513 0.250 0.474
Te 0.557 0.250 0.987
Te 0.997 0.501 0.229
Te 0.997 0.999 0.229

Results
Energy above the lowest structure with this stoichiometry, meV/atom: 72
SG: P2_1/m
Crystal system: monoclinic


3.
# LiHfAgTe3

A relaxed structure of LiHfAgTe3 (PBE-GGA, OQMD).

a = 13.261 Å, b = 4.087 Å, c = 12.129 Å
α = 90.00°, β = 90.00°, γ = 90.00°
Positions (direct):
Li 0.149 0.250 0.011
Li 0.351 0.750 0.511
Li 0.649 0.250 0.489
Li 0.851 0.750 0.989
Hf 0.063 0.250 0.328
Hf 0.437 0.750 0.828
Hf 0.563 0.250 0.172
Hf 0.937 0.750 0.672
Ag 0.248 0.750 0.205
Ag 0.252 0.250 0.705
Ag 0.748 0.750 0.295
Ag 0.752 0.250 0.795
Te 0.044 0.750 0.152
Te 0.074 0.250 0.581
Te 0.232 0.750 0.867
Te 0.268 0.250 0.367
Te 0.426 0.750 0.081
Te 0.456 0.250 0.652
Te 0.544 0.750 0.348
Te 0.574 0.250 0.919
Te 0.732 0.750 0.633
Te 0.768 0.250 0.133
Te 0.926 0.750 0.419
Te 0.956 0.250 0.848

Results
Energy above the lowest structure with this stoichiometry, meV/atom: 74
SG: Pnma
Crystal system: orthorhombic


4.
# LiHfAg3Te4

A relaxed structure of LiHfAg3Te4 (PBE-GGA, OQMD).

a = 6.510 Å, b = 6.510 Å, c = 6.510 Å
α = 90.00°, β = 90.00°, γ = 90.00°
Positions (direct):
Li 0.000 0.000 0.000
Hf 0.500 0.500 0.500
Ag 0.000 0.500 0.500
Ag 0.500 0.000 0.500
Ag 0.500 0.500 0.000
Te 0.253 0.253 0.253
Te 0.253 0.747 0.747
Te 0.747 0.253 0.747
Te 0.747 0.747 0.253

Results
Energy above the lowest structure with this stoichiometry, meV/atom: 0
SG: P-43m
Crystal system: cubic


5.
# LiHfAgTe3

A relaxed structure of LiHfAgTe3 (PBE-GGA, OQMD).

a = 8.023 Å, b = 4.093 Å, c = 9.954 Å
α = 90.00°, β = 103.72°, γ = 90.00°
Positions (direct):
Li 0.237 0.250 0.201
Li 0.763 0.750 0.799
Hf 0.189 0.750 0.682
Hf 0.811 0.250 0.318
Ag 0.414 0.250 0.907
Ag 0.586 0.750 0.093
Te 0.083 0.750 0.366
Te 0.200 0.750 0.972
Te 0.424 0.250 0.635
Te 0.576 0.750 0.365
Te 0.800 0.250 0.028
Te 0.917 0.250 0.634

Results
Energy above the lowest structure with this stoichiometry, meV/atom: 0
SG: P2_1/m
Crystal system: monoclinic


6.
# LuHfAg

A relaxed structure of LuHfAg (PBE-GGA, OQMD).

a = 6.723 Å, b = 6.723 Å, c = 6.723 Å
α = 90.00°, β = 90.00°, γ = 90.00°
Positions (direct):
Lu 0.000 0.000 0.000
Lu 0.000 0.500 0.500
Lu 0.500 0.000 0.500
Lu 0.500 0.500 0.000
Hf 0.000 0.000 0.500
Hf 0.000 0.500 0.000
Hf 0.500 0.000 0.000
Hf 0.500 0.500 0.500
Ag 0.250 0.250 0.750
Ag 0.250 0.750 0.250
Ag 0.750 0.250 0.250
Ag 0.750 0.750 0.750

Results
Calculated formation energy, eV per atom: 0.36
Energy above the lowest structure with this stoichiometry, meV/atom: 0
SG: F-43m
Crystal system: cubic